Record 1
MnPRhI GGA-PBE relaxed; space group = No. 156; uncorrected formation energy = -162 meV/atom; energy above the most stable polymorph in this dataset = 109 meV per atom
1.0
3.8342 0.0000 0.0000
-1.9171 3.3205 0.0000
0.0000 0.0000 6.5506
Mn P Rh I
1 1 1 1
direct
0.3333 0.6667 0.7568 Mn
0.0000 0.0000 0.8822 P
0.6667 0.3333 0.0043 Rh
0.3333 0.6667 0.3610 I

=====

Record 2
Ta2MnPI GGA-PBE relaxed; space group = No. 123; uncorrected formation energy = 2287 meV/atom
1.0
5.0324 0.0000 0.0000
0.0000 5.1130 0.0000
0.0000 0.0000 5.0324
I P Mn Ta
1 1 1 2
direct
0.0000 0.0000 0.0000 I
0.0000 0.5000 0.0000 P
0.5000 0.5000 0.5000 Mn
0.0000 0.0000 0.5000 Ta
0.5000 0.0000 0.0000 Ta

=====

Record 3
MnTc2PI GGA-PBE relaxed; space group = No. 123; uncorrected formation energy = 2241 meV/atom
1.0
4.8885 0.0000 0.0000
0.0000 4.5595 0.0000
0.0000 0.0000 4.8885
I P Mn Tc
1 1 1 2
direct
0.0000 0.0000 0.0000 I
0.5000 0.5000 0.5000 P
0.0000 0.5000 0.0000 Mn
0.0000 0.0000 0.5000 Tc
0.5000 0.0000 0.0000 Tc

=====

Record 4
MnTe2PI GGA-PBE relaxed; space group = No. 123; uncorrected formation energy = 641 meV/atom; energy above the most stable polymorph in this dataset = 157 meV per atom
1.0
5.3376 0.0000 0.0000
0.0000 5.3376 0.0000
0.0000 0.0000 5.2841
I P Te Mn
1 1 2 1
direct
0.0000 0.0000 0.5000 I
0.0000 0.0000 0.0000 P
0.0000 0.5000 0.0000 Te
0.5000 0.0000 0.0000 Te
0.5000 0.5000 0.5000 Mn

=====

Record 5
MnTe2PI GGA-PBE relaxed; space group = No. 123; uncorrected formation energy = 484 meV/atom; energy above the most stable polymorph in this dataset = 0 meV per atom
1.0
5.6552 0.0000 0.0000
0.0000 4.4131 0.0000
0.0000 0.0000 5.6552
I P Te Mn
1 1 2 1
direct
0.5000 0.5000 0.5000 I
0.0000 0.0000 0.0000 P
0.0000 0.0000 0.5000 Te
0.5000 0.0000 0.0000 Te
0.0000 0.5000 0.0000 Mn

=====

Record 6
MnTe2PI GGA-PBE relaxed; space group = No. 123; uncorrected formation energy = 832 meV/atom; energy above the most stable polymorph in this dataset = 348 meV per atom
1.0
-4.2771 1.8670 1.5489
1.3646 -0.7440 4.6651
2.1835 4.8857 0.1404
I P Te Mn
1 1 2 1
direct
0.0000 0.0000 0.5000 I
0.5000 0.5000 0.5000 P
0.0000 0.5000 0.0000 Te
0.5000 0.0000 0.0000 Te
0.0000 0.0000 0.0000 Mn

=====

Record 7
MnP2WI GGA-PBE relaxed; space group = No. 123; uncorrected formation energy = 1241 meV/atom
1.0
-1.0688 -0.8331 4.0703
2.9276 -4.5269 -0.1579
3.4407 2.1781 1.3493
I P Mn W
1 2 1 1
direct
0.0000 0.5000 0.0000 I
0.0000 0.0000 0.5000 P
0.5000 0.0000 0.0000 P
0.0000 0.0000 0.0000 Mn
0.5000 0.5000 0.5000 W

=====

Record 8
PaMnI GGA-PBE relaxed; space group = No. 12; uncorrected formation energy = -135 meV/atom; energy above the most stable polymorph in this dataset = 348 meV per atom
1.0
3.8616 0.6632 0.1065
0.6444 3.8647 0.1065
-1.8883 -1.8975 11.5065
I Pa Mn
2 2 2
direct
0.3583 0.3583 0.6691 I
0.6417 0.6417 0.3309 I
0.7159 0.7159 0.8990 Pa
0.2841 0.2841 0.1010 Pa
0.1900 0.1900 0.8556 Mn
0.8100 0.8100 0.1444 Mn